No. 1
YPb | PBE | relaxed

E_tot (eV per formula unit): -10.906
E_form (eV/f.u.): -0.73

a = 6.305 Å, b = 6.305 Å, c = 6.305 Å
α = 90.00°, β = 90.00°, γ = 90.00°
Space group Fm-3m (No. 225)
Asymmetric unit:
Y 0.000 0.000 0.000 [4 per cell]
Pb 0.000 0.000 0.500 [4 per cell]

***

No. 2
CdOsPb | PBE | relaxed

E_tot (eV per formula unit): -13.691
E_form (eV/f.u.): 2.16

a = 6.501 Å, b = 6.501 Å, c = 6.501 Å
α = 90.00°, β = 90.00°, γ = 90.00°
Space group F-43m (No. 216)
Asymmetric unit:
Cd 0.000 0.000 0.000 [4 per cell]
Os 0.250 0.250 0.250 [4 per cell]
Pb 0.000 0.000 0.500 [4 per cell]

***

No. 3
LiTlAs2 | PBE | relaxed

E_tot (eV per formula unit): -13.196
E_form (eV/f.u.): 0.38

a = 6.996 Å, b = 6.996 Å, c = 6.996 Å
α = 90.00°, β = 90.00°, γ = 90.00°
Space group F-43m (No. 216)
Asymmetric unit:
Li 0.000 0.000 0.000 [4 per cell]
Tl 0.250 0.250 0.250 [4 per cell]
As 0.000 0.000 0.500 [4 per cell]
As 0.250 0.250 0.750 [4 per cell]

***

No. 4
HoTm3Pd | PBE | relaxed

E_tot (eV per formula unit): -24.605
E_form (eV/f.u.): -1.42

a = 17.031 Å, b = 5.166 Å, c = 6.227 Å
α = 90.00°, β = 95.80°, γ = 90.00°
Space group C2/m (No. 12)
Asymmetric unit:
Ho 0.090 0.000 0.367 [4 per cell]
Tm 0.038 0.500 0.770 [4 per cell]
Tm 0.182 0.000 0.901 [4 per cell]
Tm 0.206 0.500 0.563 [4 per cell]
Pd 0.144 0.500 0.135 [4 per cell]

***

No. 5
CdHg4 | PBE | relaxed

E_tot (eV per formula unit): -2.011
E_form (eV/f.u.): 0.11

a = 11.789 Å, b = 3.568 Å, c = 6.641 Å
α = 90.00°, β = 108.11°, γ = 90.00°
Space group C2/m (No. 12)
Asymmetric unit:
Cd 0.000 0.000 0.000 [2 per cell]
Hg 0.098 0.500 0.389 [4 per cell]
Hg 0.193 0.000 0.795 [4 per cell]

***

No. 6
ZrTcPIr2 | PBE | relaxed

E_tot (eV per formula unit): -39.968
E_form (eV/f.u.): 2.08

a = 4.348 Å, b = 4.348 Å, c = 4.811 Å
α = 90.00°, β = 90.00°, γ = 90.00°
Space group P4/mmm (No. 123)
Asymmetric unit:
Zr 0.000 0.000 0.000 [1 per cell]
Tc 0.500 0.500 0.000 [1 per cell]
P 0.000 0.000 0.500 [1 per cell]
Ir 0.000 0.500 0.500 [2 per cell]